[1]
This record from the Alexandria database describes a geometry-optimized ScTcHg2 structure. The functional is PBE-GGA.

```
ScTcHg2
1.0
9.651 0.009 0.005
9.145 3.087 0.005
9.145 1.506 2.694
Tc Hg Sc
1 2 1
Direct
0.750 0.750 0.750 Tc
0.497 0.497 0.497 Hg
0.003 0.003 0.003 Hg
0.250 0.250 0.250 Sc
```

Computed properties:
Its formation energy is 338 meV per atom. Its total energy is -3.988 eV per atom. Its energy above the most stable polymorph in this dataset is 28.63 kJ/mol of atoms.

[2]
This record from the Alexandria database describes a geometry-optimized Sc6Tc2Hg structure. The functional is PBE-GGA.

```
Sc6Tc2Hg
1.0
-0.427 -2.933 -7.408
6.282 -2.728 4.094
-6.264 -2.232 4.410
Sc Tc Hg
12 4 2
Direct
0.690 0.024 0.334 Sc
0.909 0.720 0.188 Sc
0.310 0.644 0.334 Sc
0.091 0.280 0.812 Sc
0.795 0.246 0.041 Sc
0.310 0.976 0.666 Sc
0.690 0.356 0.666 Sc
0.795 0.754 0.549 Sc
0.205 0.246 0.451 Sc
0.532 0.720 0.812 Sc
0.205 0.754 0.959 Sc
0.468 0.280 0.188 Sc
0.328 0.000 0.328 Tc
0.500 0.621 0.121 Tc
0.500 0.379 0.879 Tc
0.672 0.000 0.672 Tc
0.000 0.500 0.500 Hg
0.000 0.000 0.000 Hg
```

Computed properties:
Its formation energy is -221 meV per atom. Its total energy is -6.779 eV per atom.

[3]
This record from the Alexandria database describes a geometry-optimized ScTcHg structure. The functional is PBE-GGA.

```
ScTcHg
1.0
4.518 0.000 0.000
2.259 3.913 0.000
2.259 1.304 3.689
Tc Hg Sc
1 1 1
Direct
0.000 0.000 0.000 Tc
0.500 0.500 0.500 Hg
0.750 0.750 0.750 Sc
```

Computed properties:
Its formation energy is 773 meV per atom. Its total energy is -4.893 eV per atom. Its energy above the most stable polymorph in this dataset is 68.07 kJ/mol of atoms.

[4]
This record from the Alexandria database describes a geometry-optimized ScTcHg2 structure. The functional is PBE-GGA.

```
ScTcHg2
1.0
4.057 0.000 0.000
0.000 4.057 0.000
2.028 2.028 10.252
Hg Tc Sc
4 2 2
Direct
0.875 0.888 0.750 Hg
0.638 0.125 0.250 Hg
0.375 0.362 0.750 Hg
0.112 0.625 0.250 Hg
0.000 0.000 0.000 Tc
0.750 0.250 0.500 Tc
0.250 0.750 0.500 Sc
0.500 0.500 0.000 Sc
```

Computed properties:
Its formation energy is 390 meV per atom. Its total energy is -3.935 eV per atom. Its energy above the most stable polymorph in this dataset is 33.65 kJ/mol of atoms.

[5]
This record from the Alexandria database describes a geometry-optimized ScTc3Hg structure. The functional is PBE-GGA.

```
ScTc3Hg
1.0
4.979 0.000 0.000
0.000 4.979 0.000
0.000 0.000 4.979
Tc Sc Hg
3 1 1
Direct
0.500 0.000 0.000 Tc
0.000 0.500 0.000 Tc
0.000 0.000 0.500 Tc
0.500 0.500 0.500 Sc
0.000 0.000 0.000 Hg
```

Computed properties:
Its formation energy is 2126 meV per atom. Its total energy is -5.420 eV per atom. Its energy above the most stable polymorph in this dataset is 37.47 kJ/mol of atoms.

[6]
This record from the Alexandria database describes a geometry-optimized ScTcHg2 structure. The functional is PBE-GGA.

```
ScTcHg2
1.0
3.088 0.000 0.000
0.000 3.088 0.000
0.000 0.000 8.493
Hg Sc Tc
2 1 1
Direct
0.500 0.500 0.258 Hg
0.000 0.000 0.973 Hg
0.000 0.000 0.529 Sc
0.500 0.500 0.741 Tc
```

Computed properties:
Its formation energy is 132 meV per atom. Its total energy is -4.193 eV per atom. Its energy above the most stable polymorph in this dataset is 8.76 kJ/mol of atoms.

[7]
This record from the Alexandria database describes a geometry-optimized Sc8Tc2Hg structure. The functional is PBE-GGA.

```
Sc8Tc2Hg
1.0
4.724 0.058 -1.414
-0.838 5.907 -2.557
-0.068 0.048 8.376
Sc Tc Hg
8 2 1
Direct
0.523 0.713 0.683 Sc
0.749 0.939 0.135 Sc
0.344 0.859 0.324 Sc
0.637 0.265 0.909 Sc
0.137 0.537 0.909 Sc
0.303 0.352 0.242 Sc
0.929 0.444 0.494 Sc
0.970 0.019 0.576 Sc
0.803 0.620 0.242 Tc
0.470 0.287 0.576 Tc
0.136 0.966 0.909 Hg
```

Computed properties:
Its formation energy is -212 meV per atom. Its total energy is -6.729 eV per atom.

[8]
This record from the Alexandria database describes a geometry-optimized TmScTcHg structure. The functional is PBE-GGA.

```
TmScTcHg
1.0
4.867 0.000 0.000
2.434 4.215 0.000
2.434 1.405 3.974
Hg Sc Tc Tm
1 1 1 1
Direct
0.250 0.250 0.250 Hg
0.000 0.000 0.000 Sc
0.750 0.750 0.750 Tc
0.500 0.500 0.500 Tm
```

Computed properties:
Its formation energy is -215 meV per atom. Its total energy is -5.583 eV per atom.

[9]
This record from the Alexandria database describes a geometry-optimized ScTc2HgW structure. The functional is PBE-GGA.

```
ScTc2HgW
1.0
-0.162 -3.595 -3.036
4.246 -1.885 2.006
-2.556 -2.484 3.077
Tc Hg W Sc
2 1 1 1
Direct
0.000 0.000 0.500 Tc
0.500 0.000 0.000 Tc
0.500 0.500 0.500 Hg
0.000 0.000 0.000 W
0.000 0.500 0.000 Sc
```

Computed properties:
Its formation energy is 1188 meV per atom. Its total energy is -6.876 eV per atom.

[10]
This record from the Alexandria database describes a geometry-optimized ScZnTc2Hg structure. The functional is PBE-GGA.

```
ScZnTc2Hg
1.0
-1.896 3.175 -3.451
2.031 -2.799 -3.691
-3.910 -2.561 -0.209
Hg Sc Tc Zn
1 1 2 1
Direct
0.000 0.000 0.000 Hg
0.500 0.500 0.500 Sc
0.500 0.000 0.000 Tc
0.000 0.500 0.000 Tc
0.000 0.000 0.500 Zn
```

Computed properties:
Its formation energy is 1535 meV per atom. Its total energy is -4.192 eV per atom.

[11]
This record from the Alexandria database describes a geometry-optimized Sc2HgTe2 structure. The functional is PBE-GGA.

```
Sc2HgTe2
1.0
-8.253 -0.322 -1.010
-0.443 -6.154 5.583
-0.426 2.472 2.690
Hg Sc Te
2 4 4
Direct
0.000 0.000 0.000 Hg
0.500 0.500 0.000 Hg
0.145 0.645 0.500 Sc
0.855 0.355 0.500 Sc
0.645 0.855 0.500 Sc
0.355 0.145 0.500 Sc
0.645 0.145 0.000 Te
0.145 0.355 0.000 Te
0.355 0.855 0.000 Te
0.855 0.645 0.000 Te
```

Computed properties:
Its total energy is -4.526 eV per atom. Its energy above the most stable polymorph in this dataset is 14.75 kJ/mol of atoms. The value obtained for the formation energy without anion corrections is -3.38 eV per formula unit.

[12]
This record from the Alexandria database describes a geometry-optimized Sc2HgTe structure. The functional is PBE-GGA.

```
Sc2HgTe
1.0
3.929 -0.003 0.006
1.976 3.396 0.006
1.943 1.117 7.452
Sc Te Hg
2 1 1
Direct
0.499 0.499 0.501 Sc
0.001 0.001 0.999 Sc
0.750 0.750 0.750 Te
0.250 0.250 0.250 Hg
```

Computed properties:
Its total energy is -4.725 eV per atom. Its energy above the most stable polymorph in this dataset is 0.00 kJ/mol of atoms. The value obtained for the formation energy without anion corrections is -2.79 eV per formula unit.

[13]
This record from the Alexandria database describes a geometry-optimized Sc2HgTe structure. The functional is PBE-GGA.

```
Sc2HgTe
1.0
2.328 0.000 8.782
-1.164 2.016 8.782
-1.164 -2.016 8.782
Te Sc Hg
1 2 1
Direct
0.000 0.000 0.000 Te
0.898 0.898 0.898 Sc
0.102 0.102 0.102 Sc
0.500 0.500 0.500 Hg
```

Computed properties:
Its total energy is -4.187 eV per atom. Its energy above the most stable polymorph in this dataset is 51.91 kJ/mol of atoms. The value obtained for the formation energy without anion corrections is -0.64 eV per formula unit.

[14]
This record from the Alexandria database describes a geometry-optimized Sc2HgTe structure. The functional is PBE-GGA.

```
Sc2HgTe
1.0
-1.745 -6.027 -1.951
3.964 -5.021 -1.502
-1.624 4.577 4.427
Sc Te Hg
2 1 1
Direct
0.968 0.968 0.000 Sc
0.727 0.227 0.500 Sc
0.529 0.529 0.000 Te
0.275 0.775 0.500 Hg
```

Computed properties:
Its total energy is -4.584 eV per atom. Its energy above the most stable polymorph in this dataset is 13.59 kJ/mol of atoms. The value obtained for the formation energy without anion corrections is -2.23 eV per formula unit.

[15]
This record from the Alexandria database describes a geometry-optimized Sc2HgTe2 structure. The functional is PBE-GGA.

```
Sc2HgTe2
1.0
4.974 0.000 0.000
0.000 4.974 0.000
2.487 2.487 6.478
Hg Sc Te
1 2 2
Direct
0.000 0.000 0.000 Hg
0.750 0.250 0.500 Sc
0.250 0.750 0.500 Sc
0.358 0.358 0.285 Te
0.642 0.642 0.715 Te
```

Computed properties:
Its total energy is -4.555 eV per atom. Its energy above the most stable polymorph in this dataset is 11.92 kJ/mol of atoms. The value obtained for the formation energy without anion corrections is -3.53 eV per formula unit.

[16]
This record from the Alexandria database describes a geometry-optimized ScHgTe3 structure. The functional is PBE-GGA.

```
ScHgTe3
1.0
-2.377 -1.052 -4.931
3.487 -4.280 -0.768
-3.642 -3.412 2.483
Sc Hg Te
1 1 3
Direct
0.000 0.000 0.000 Sc
0.500 0.500 0.500 Hg
0.500 0.000 0.000 Te
0.000 0.500 0.000 Te
0.000 0.000 0.500 Te
```

Computed properties:
Its total energy is -3.412 eV per atom. Its energy above the most stable polymorph in this dataset is 33.02 kJ/mol of atoms. The value obtained for the formation energy without anion corrections is -1.00 eV per formula unit.

[17]
This record from the Alexandria database describes a geometry-optimized Sc2HgTe structure. The functional is PBE-GGA.

```
Sc2HgTe
1.0
-0.087 -5.530 1.996
-0.031 -5.590 -1.824
4.490 -0.034 0.066
Hg Sc Te
1 2 1
Direct
0.258 0.258 0.125 Hg
0.753 0.753 0.625 Sc
0.005 0.005 0.125 Sc
0.483 0.483 0.625 Te
```

Computed properties:
Its total energy is -4.659 eV per atom. Its energy above the most stable polymorph in this dataset is 6.37 kJ/mol of atoms. The value obtained for the formation energy without anion corrections is -2.53 eV per formula unit.

[18]
This record from the Alexandria database describes a geometry-optimized Sc2HgTe structure. The functional is PBE-GGA.

```
Sc2HgTe
1.0
-3.943 0.507 1.065
-1.154 -2.517 -3.074
0.387 -4.610 3.630
Te Sc Hg
1 2 1
Direct
0.000 0.000 0.375 Te
0.000 0.000 0.875 Sc
0.500 0.500 0.375 Sc
0.500 0.500 0.875 Hg
```

Computed properties:
Its total energy is -4.675 eV per atom. Its energy above the most stable polymorph in this dataset is 4.88 kJ/mol of atoms. The value obtained for the formation energy without anion corrections is -2.59 eV per formula unit.

[19]
This record from the Alexandria database describes a geometry-optimized Sc3HgTe structure. The functional is PBE-GGA.

```
Sc3HgTe
1.0
5.267 0.000 0.000
0.000 5.267 0.000
0.000 0.000 5.267
Te Hg Sc
1 1 3
Direct
0.500 0.500 0.500 Te
0.000 0.000 0.000 Hg
0.000 0.500 0.000 Sc
0.500 0.000 0.000 Sc
0.000 0.000 0.500 Sc
```

Computed properties:
Its total energy is -4.491 eV per atom. Its energy above the most stable polymorph in this dataset is 0.00 kJ/mol of atoms. The value obtained for the formation energy without anion corrections is -0.02 eV per formula unit.

[20]
This record from the Alexandria database describes a geometry-optimized Sc2HgTe2 structure. The functional is PBE-GGA.

```
Sc2HgTe2
1.0
-3.855 5.707 -4.125
3.009 -2.916 -6.848
-3.053 -2.318 -0.354
Hg Sc Te
2 4 4
Direct
0.500 0.500 0.000 Hg
0.000 0.000 0.000 Hg
0.644 0.144 0.000 Sc
0.856 0.644 0.000 Sc
0.356 0.856 0.000 Sc
0.144 0.356 0.000 Sc
0.152 0.652 0.500 Te
0.848 0.348 0.500 Te
0.348 0.152 0.500 Te
0.652 0.848 0.500 Te
```

Computed properties:
Its total energy is -4.679 eV per atom. Its energy above the most stable polymorph in this dataset is 0.00 kJ/mol of atoms. The value obtained for the formation energy without anion corrections is -4.15 eV per formula unit.